The following is a PBE-GGA calculation of a geometry-optimized SiSnNF2 structure, from the Alexandria database.

Cell lengths 4.320, 4.320, 4.112 Å; angles 90.00, 90.00, 90.00 degrees
Site moments in Bohr magnetons follow the coordinates.
Positions (direct):
Sn (0.000, 0.000, 0.000)  0.01
Si (0.500, 0.500, 0.500)  0.14
F (0.000, 0.500, 0.000)  0.02
F (0.500, 0.000, 0.000)  0.02
N (0.000, 0.000, 0.500)  0.00

Output
total DFT energy (no corrections) = -4.62 eV per atom
SG = P4/mmm, No. 123
raw formation energy = -1.59 eV per formula unit